{"formula": "RbCoOs2O", "functional": "PBE with a Hubbard U", "state": "optimized geometry", "vol_a3_per_cell": 137.6, "dos_at_fermi_per_ev_fu": 11.068, "spacegroup": "No. 123", "e_tot_ev_per_atom": -4.581, "m_tot_mub_per_atom": 1.1627, "lattice_angstrom": [[-1.1312, 4.2932, 0.4067], [-6.4903, -1.5352, -1.8464], [-1.0553, -0.6832, 4.2775]], "species": ["Co", "Os", "Os", "O", "Rb"], "frac_coords": [[0.0000, 0.0000, 0.0000], [0.0000, 0.0000, 0.5000], [0.5000, 0.0000, 0.0000], [0.5000, 0.5000, 0.5000], [0.0000, 0.5000, 0.0000]]}